Computed, not measured: a relaxed La3In12Ag crystal at the GGA-PBE level of DFT.

Results
Energy of formation in eV/atom: -0.345
DOS(E_F) in states/eV per cell: 5.9
Size of the total moment in μB per atom: 0.000

```
La3In12Ag
1.0
4.7674 0.0000 0.0000
0.0000 4.7674 0.0000
0.0000 0.0000 18.6225
In La Ag
12 3 1
direct
0.5000 0.5000 0.5000
0.5000 0.5000 0.7516
0.5000 0.0000 0.3705
0.5000 0.5000 0.0000
0.5000 0.0000 0.6295
0.5000 0.0000 0.8896
0.5000 0.5000 0.2484
0.0000 0.5000 0.8896
0.0000 0.5000 0.1104
0.5000 0.0000 0.1104
0.0000 0.5000 0.3705
0.0000 0.5000 0.6295
0.0000 0.0000 0.2403
0.0000 0.0000 0.7597
0.0000 0.0000 0.5000
0.0000 0.0000 0.0000
```